Below is an optimized crystal structure of Cs2MoClF6, with properties calculated at the GGA+U level.

The energy is -90.8 eV per cell. The volume is 25.66 Å³ per atom. The total moment comes out at 1.32 μB/f.u.

It has space group I4/mmm (No. 139), with a = 7.219 Å, b = 7.219 Å, c = 9.848 Å, α = 90.00°, β = 90.00° and γ = 90.00°. The inequivalent atoms are Cs at (0.000, 0.500, 0.250), Mo at (0.000, 0.000, 0.000), Cl at (0.000, 0.000, 0.500), F at (0.000, 0.000, 0.193) and F at (0.191, 0.191, 0.000).